A plane-wave DFT calculation with GGA-PBE was carried out for a relaxed structure of Ce2DyTmSe6.

a b c (Å): 7.3499 7.3499 19.4445
angles (deg): 90.00 90.00 120.00
With the nearest neighbours (Å) after each atom.
Space group R3 (No. 146, hexagonal axes)
One atom of each set of equivalent atoms:
Ce (0.0000, 0.0000, 0.0000)  6 Se 2.96-3.01
Ce (0.0000, 0.0000, 0.4993)  6 Se 2.96-3.01
Dy (0.0000, 0.0000, 0.2009)  6 Se 2.84-2.90
Tm (0.0000, 0.0000, 0.7000)  6 Se 2.81-2.86
Se (0.0451, 0.3524, 0.7715)  1 Tm 2.81, 1 Dy 2.90, 2 Ce 2.96-3.01
Se (0.0465, 0.6890, 0.2722)  1 Dy 2.84, 1 Tm 2.86, 2 Ce 2.96-3.01

energy relative to the elements, uncorrected: -1.7929 eV per atom

***

A plane-wave DFT calculation with GGA-PBE was carried out for a relaxed structure of MnAlVFe.

a b c (Å): 2.8827 2.8827 5.7432
angles (deg): 90.00 90.00 90.00
With the nearest neighbours (Å) after each atom.
Space group P4mm (No. 99)
One atom of each set of equivalent atoms:
Mn (0.0000, 0.0000, 0.0000)  4 V 2.45, 4 Al 2.54
Al (0.5000, 0.5000, 0.2634)  4 Fe 2.52, 4 Mn 2.54
V (0.5000, 0.5000, 0.7629)  4 Mn 2.45, 4 Fe 2.47
Fe (0.0000, 0.0000, 0.5213)  4 V 2.47, 4 Al 2.52, 1 Mn 2.75

E_form: -0.30 eV per atom

***

A plane-wave DFT calculation with GGA-PBE was carried out for a relaxed structure of La6Tm3Mg.

a b c (Å): 9.4098 9.4098 26.5776
angles (deg): 90.00 90.00 120.00
With the nearest neighbours (Å) after each atom.
Space group R-3 (No. 148, hexagonal axes)
One atom of each set of equivalent atoms:
La (0.0136, 0.8004, 0.1164)  4 La 3.09-3.37
La (0.0414, 0.5485, 0.9012)  2 La 3.09-3.26, 1 Tm 3.45
Tm (0.0833, 0.5541, 0.3304)  1 Mg 3.40, 4 Tm 3.40-3.53, 5 La 3.45-3.75
Mg (0.0000, 0.0000, 0.0000)  6 Tm 3.40, 6 La 3.65
Mg (0.0000, 0.0000, 0.5000)  6 La 3.56

E_form: 0.13 eV per atom

***

A plane-wave DFT calculation with GGA-PBE was carried out for a relaxed structure of Re2IrBr.

a b c (Å): 3.8176 3.8176 4.3898
angles (deg): 90.00 90.00 90.00
With the nearest neighbours (Å) after each atom.
Space group P4/mmm (No. 123)
One atom of each set of equivalent atoms:
Re (0.0000, 0.5000, 0.0000)  4 Re 2.70, 4 Br 2.91, 4 Ir 2.91
Ir (0.0000, 0.0000, 0.5000)  4 Br 2.70, 8 Re 2.91
Br (0.5000, 0.5000, 0.5000)  4 Ir 2.70, 8 Re 2.91

energy relative to the elements, uncorrected: 1.4989 eV per atom
E above lowest polymorph: 3.89 eV per formula unit

***

Short version: calculated density = 5.9 6.6 6.7 16.7 g/cm3, in the order given.
Short version: D(E_F) = 10.26 3.97 14.31 5.05 states/eV/f.u., in the order given.